Material: CaGaAg3
Method: DFT, PBE
State: relaxed

Calculated values
E_form = -0.03 eV/atom
total DFT energy (no corrections) = -2.745 eV/atom

a b c (Å): 4.9348 4.9348 4.9348
angles (deg): 90.00 90.00 90.00
Space group Pm-3m (No. 221)
Symmetry-distinct sites (fractional):
Ca  0.0000  0.0000  0.0000
Ga  0.5000  0.5000  0.5000
Ag  0.0000  0.5000  0.5000